#1
# Sm3Dy2Ag2 (PBE, optimized geometry)
# **M_tot**: 0.00 μB/f.u.
# **Symmetry**: C2/m (12)
data_Sm3Dy2Ag2
_chemical_formula_sum 'Sm3 Dy2 Ag2'
_cell_length_a 3.7507
_cell_length_b 6.7802
_cell_length_c 9.2668
_cell_angle_alpha 114.44
_cell_angle_beta 90.00
_cell_angle_gamma 106.06
_space_group_name_H-M_alt 'P 1'
_space_group_IT_number 1
loop_
_space_group_symop_operation_xyz
'x,y,z'
loop_
_atom_site_label
_atom_site_type_symbol
_atom_site_fract_x
_atom_site_fract_y
_atom_site_fract_z
Ag1 Ag 0.8245 0.6490 0.7763
Dy1 Dy 0.1473 0.2946 0.8132
Sm1 Sm 0.6100 0.2200 0.4456
Sm2 Sm 0.5000 0.0000 0.0000
Dy2 Dy 0.8527 0.7054 0.1868
Ag2 Ag 0.1755 0.3510 0.2237
Sm3 Sm 0.3900 0.7800 0.5544

#2
# Sm3Dy2Ag2 (PBE, optimized geometry)
# **M_tot**: 0.00 μB/f.u.
# **Symmetry**: Cmmm (65)
data_Sm3Dy2Ag2
_chemical_formula_sum 'Sm3 Dy2 Ag2'
_cell_length_a 4.8416
_cell_length_b 3.4534
_cell_length_c 11.9178
_cell_angle_alpha 90.00
_cell_angle_beta 78.28
_cell_angle_gamma 90.00
_space_group_name_H-M_alt 'P 1'
_space_group_IT_number 1
loop_
_space_group_symop_operation_xyz
'x,y,z'
loop_
_atom_site_label
_atom_site_type_symbol
_atom_site_fract_x
_atom_site_fract_y
_atom_site_fract_z
Sm1 Sm 0.1387 0.0000 0.7226
Sm2 Sm 0.0000 0.0000 0.0000
Ag1 Ag 0.4298 0.5000 0.1405
Sm3 Sm 0.8613 0.0000 0.2774
Dy1 Dy 0.7083 0.5000 0.5833
Dy2 Dy 0.2917 0.5000 0.4167
Ag2 Ag 0.5702 0.5000 0.8595

Stability, highest: #1

#1
# Sm3DyAg2 (PBE, optimized geometry)
# **M_tot**: 0.00 μB/f.u.
# **Symmetry**: Pmc2_1 (26)
data_Sm3DyAg2
_chemical_formula_sum 'Sm6 Dy2 Ag4'
_cell_length_a 5.1913
_cell_length_b 6.9942
_cell_length_c 9.3026
_cell_angle_alpha 90.00
_cell_angle_beta 90.00
_cell_angle_gamma 90.00
_space_group_name_H-M_alt 'P 1'
_space_group_IT_number 1
loop_
_space_group_symop_operation_xyz
'x,y,z'
loop_
_atom_site_label
_atom_site_type_symbol
_atom_site_fract_x
_atom_site_fract_y
_atom_site_fract_z
Sm1 Sm 0.0000 0.8417 0.6668
Dy1 Dy 0.5000 0.5114 0.5610
Sm2 Sm 0.5000 0.6574 0.1703
Ag1 Ag 0.0000 0.7705 0.3492
Sm3 Sm 0.0000 0.9897 0.0623
Sm4 Sm 0.0000 0.3417 0.3332
Ag2 Ag 0.0000 0.2705 0.6508
Ag3 Ag 0.5000 0.7293 0.8449
Dy2 Dy 0.5000 0.0114 0.4390
Sm5 Sm 0.0000 0.4897 0.9377
Sm6 Sm 0.5000 0.1574 0.8297
Ag4 Ag 0.5000 0.2293 0.1551

#2
# Sm3DyAg2 (PBE, optimized geometry)
# **M_tot**: 0.00 μB/f.u.
# **Symmetry**: Ibam (72)
data_Sm3DyAg2
_chemical_formula_sum 'Sm6 Dy2 Ag4'
_cell_length_a 7.0960
_cell_length_b 7.5930
_cell_length_c 8.7833
_cell_angle_alpha 115.61
_cell_angle_beta 113.83
_cell_angle_gamma 90.00
_space_group_name_H-M_alt 'P 1'
_space_group_IT_number 1
loop_
_space_group_symop_operation_xyz
'x,y,z'
loop_
_atom_site_label
_atom_site_type_symbol
_atom_site_fract_x
_atom_site_fract_y
_atom_site_fract_z
Sm1 Sm 0.7744 0.0244 0.5488
Sm2 Sm 0.5000 0.7500 0.0000
Sm3 Sm 0.5000 0.2500 0.0000
Dy1 Dy 0.0000 0.5000 0.0000
Ag1 Ag 0.1610 0.8590 0.7179
Sm4 Sm 0.2256 0.9756 0.4512
Sm5 Sm 0.7744 0.5244 0.5488
Ag2 Ag 0.8390 0.1410 0.2821
Sm6 Sm 0.2256 0.4756 0.4512
Ag3 Ag 0.5569 0.3590 0.7179
Dy2 Dy 0.0000 0.0000 0.0000
Ag4 Ag 0.4431 0.6410 0.2821

Stability, highest: #1

#1
# Sm2DyAg2 (PBE, optimized geometry)
# **M_tot**: 0.00 μB/f.u.
# **Symmetry**: Cmcm (63)
data_Sm2DyAg2
_chemical_formula_sum 'Sm4 Dy2 Ag4'
_cell_length_a 3.6940
_cell_length_b 5.3031
_cell_length_c 13.7364
_cell_angle_alpha 90.00
_cell_angle_beta 97.71
_cell_angle_gamma 90.00
_space_group_name_H-M_alt 'P 1'
_space_group_IT_number 1
loop_
_space_group_symop_operation_xyz
'x,y,z'
loop_
_atom_site_label
_atom_site_type_symbol
_atom_site_fract_x
_atom_site_fract_y
_atom_site_fract_z
Sm1 Sm 0.2353 0.7500 0.4690
Ag1 Ag 0.6422 0.7500 0.2834
Dy1 Dy 0.8550 0.7500 0.7096
Ag2 Ag 0.4503 0.7500 0.9001
Sm2 Sm 0.7647 0.2500 0.5310
Ag3 Ag 0.5497 0.2500 0.0999
Dy2 Dy 0.1450 0.2500 0.2904
Ag4 Ag 0.3578 0.2500 0.7166
Sm3 Sm 0.0475 0.7500 0.0945
Sm4 Sm 0.9525 0.2500 0.9055

#2
# Sm2DyAg2 (PBE, optimized geometry)
# **M_tot**: 0.00 μB/f.u.
# **Symmetry**: Cmc2_1 (36)
data_Sm2DyAg2
_chemical_formula_sum 'Sm4 Dy2 Ag4'
_cell_length_a 3.7319
_cell_length_b 7.7028
_cell_length_c 10.0412
_cell_angle_alpha 90.00
_cell_angle_beta 90.00
_cell_angle_gamma 104.02
_space_group_name_H-M_alt 'P 1'
_space_group_IT_number 1
loop_
_space_group_symop_operation_xyz
'x,y,z'
loop_
_atom_site_label
_atom_site_type_symbol
_atom_site_fract_x
_atom_site_fract_y
_atom_site_fract_z
Sm1 Sm 0.1183 0.2367 0.6522
Ag1 Ag 0.0440 0.0880 0.3182
Ag2 Ag 0.7963 0.5926 0.6399
Dy1 Dy 0.5690 0.1380 0.9968
Ag3 Ag 0.9560 0.9120 0.8182
Sm2 Sm 0.8817 0.7633 0.1522
Ag4 Ag 0.2037 0.4074 0.1399
Sm3 Sm 0.6989 0.3978 0.3782
Sm4 Sm 0.3011 0.6022 0.8782
Dy2 Dy 0.4310 0.8620 0.4968

Stability, highest: #1